(1)
A relaxed ZrBeIr3 crystal, computed with PBE-GGA.

The formation energy is -0.47 eV/atom.

The structure belongs to space group Pm-3m (No. 221); the cell edges are 4.198, 4.198 and 4.198 Å and the angles 90.00°, 90.00° and 90.00°. Symmetry generates all atoms from Zr at (0.000, 0.000, 0.000), Be at (0.500, 0.500, 0.500) and Ir at (0.000, 0.500, 0.500).


(2)
A relaxed Nd4ErTe5 crystal, computed with PBE-GGA.

The formation energy without anion corrections is -1.3814 eV per atom.

The structure belongs to space group I4/mmm (No. 139); the cell edges are 4.422, 4.422 and 32.242 Å and the angles 90.00°, 90.00° and 90.00°. Symmetry generates all atoms from Nd at (0.000, 0.000, 0.106), Nd at (0.000, 0.000, 0.310), Er at (0.000, 0.000, 0.500), Te at (0.000, 0.000, 0.000), Te at (0.000, 0.000, 0.206) and Te at (0.000, 0.000, 0.407).


(3)
A relaxed CaHf2TiPd crystal, computed with PBE-GGA.

The formation energy is 0.90 eV/atom.

The structure belongs to space group P4/mmm (No. 123); the cell edges are 4.875, 4.875 and 5.276 Å and the angles 90.00°, 90.00° and 90.00°. Symmetry generates all atoms from Ca at (0.000, 0.000, 0.000), Hf at (0.000, 0.500, 0.500), Ti at (0.000, 0.000, 0.500) and Pd at (0.500, 0.500, 0.000).